VASP calculation (PBE-GGA) on Ce4ScPb3 after structural relaxation.

The structure in POSCAR format:
```
Ce4ScPb3
1.0
-2.973 -1.793 -2.222
3.001 -2.614 -1.905
1.261 -9.309 9.648
Pb Ce Sc
3 4 1
Cartesian
-1.161 -8.263 4.399
2.450 -5.453 1.123
1.500 -1.307 -0.953
1.631 -9.680 5.630
1.997 -7.789 3.614
-0.342 -4.036 -0.109
-0.708 -5.927 1.907
-1.487 -0.897 -1.111
```

Values from the calculation:
space group = Immm (71)
total energy = -5.386 eV per atom